# 1
Entry from Alexandria via LeMat-Bulk: an optimized crystal structure of La2DyHfP4 (PBE).

abc: 6.987 4.028 7.046
angles: 90.00 109.12 90.00
Fractional coordinates of all 8 atoms:
La (0.000, 0.000, 0.000)
La (0.500, 0.500, 0.000)
Dy (0.000, 0.500, 0.500)
Hf (0.500, 0.000, 0.500)
P (0.254, 0.000, 0.727)
P (0.270, 0.500, 0.279)
P (0.730, 0.500, 0.721)
P (0.746, 0.000, 0.273)

Results
Energy of formation from the pure elements   -1.50 eV per atom
Symmetry   No. 10


# 2
Entry from Alexandria via LeMat-Bulk: an optimized crystal structure of LiDyHf (PBE).

abc: 3.305 3.305 13.215
angles: 90.00 90.00 90.00
Fractional coordinates of all 6 atoms:
Li (0.000, 0.000, 0.000)
Li (0.500, 0.500, 0.500)
Dy (0.000, 0.000, 0.681)
Dy (0.500, 0.500, 0.181)
Hf (0.000, 0.000, 0.345)
Hf (0.500, 0.500, 0.845)

Results
Energy above the lowest structure with this stoichiometry   96.4 meV/atom
Energy of formation from the pure elements   0.19 eV per atom
Symmetry   No. 107


# 3
Entry from Alexandria via LeMat-Bulk: an optimized crystal structure of LiDyHf (PBE).

abc: 3.244 3.244 14.170
angles: 90.00 90.00 90.00
Fractional coordinates of all 6 atoms:
Li (0.250, 0.250, 0.071)
Li (0.750, 0.750, 0.929)
Dy (0.250, 0.250, 0.745)
Dy (0.750, 0.750, 0.255)
Hf (0.250, 0.250, 0.425)
Hf (0.750, 0.750, 0.575)

Results
Energy above the lowest structure with this stoichiometry   0.0 meV/atom
Energy of formation from the pure elements   0.10 eV per atom
Symmetry   No. 129


# 4
Entry from Alexandria via LeMat-Bulk: an optimized crystal structure of LiDyHf2N4 (PBE).

abc: 5.545 5.545 10.951
angles: 90.00 90.00 146.07
Fractional coordinates of all 16 atoms:
Li (0.157, 0.843, 0.750)
Li (0.843, 0.157, 0.250)
Dy (0.107, 0.893, 0.250)
Dy (0.893, 0.107, 0.750)
Hf (0.367, 0.633, 0.059)
Hf (0.367, 0.633, 0.441)
Hf (0.633, 0.367, 0.559)
Hf (0.633, 0.367, 0.941)
N (0.000, 0.000, 0.000)
N (0.000, 0.000, 0.500)
N (0.264, 0.736, 0.613)
N (0.264, 0.736, 0.887)
N (0.447, 0.553, 0.250)
N (0.553, 0.447, 0.750)
N (0.736, 0.264, 0.113)
N (0.736, 0.264, 0.387)

Results
Uncorrected formation energy   -1.57 eV per atom
Symmetry   No. 63


# 5
Entry from Alexandria via LeMat-Bulk: an optimized crystal structure of LiDyHfOs (PBE).

abc: 6.718 6.718 6.718
angles: 90.00 90.00 90.00
Fractional coordinates of all 16 atoms:
Li (0.000, 0.000, 0.000)
Li (0.000, 0.500, 0.500)
Li (0.500, 0.000, 0.500)
Li (0.500, 0.500, 0.000)
Dy (0.250, 0.250, 0.250)
Dy (0.250, 0.750, 0.750)
Dy (0.750, 0.250, 0.750)
Dy (0.750, 0.750, 0.250)
Hf (0.250, 0.250, 0.750)
Hf (0.250, 0.750, 0.250)
Hf (0.750, 0.250, 0.250)
Hf (0.750, 0.750, 0.750)
Os (0.000, 0.000, 0.500)
Os (0.000, 0.500, 0.000)
Os (0.500, 0.000, 0.000)
Os (0.500, 0.500, 0.500)

Results
Energy of formation from the pure elements   -0.26 eV per atom
Symmetry   No. 216


# 6
Entry from Alexandria via LeMat-Bulk: an optimized crystal structure of LiDyHfPt (PBE).

abc: 6.811 6.811 6.811
angles: 90.00 90.00 90.00
Fractional coordinates of all 16 atoms:
Li (0.000, 0.000, 0.000)
Li (0.000, 0.500, 0.500)
Li (0.500, 0.000, 0.500)
Li (0.500, 0.500, 0.000)
Dy (0.250, 0.250, 0.750)
Dy (0.250, 0.750, 0.250)
Dy (0.750, 0.250, 0.250)
Dy (0.750, 0.750, 0.750)
Hf (0.250, 0.250, 0.250)
Hf (0.250, 0.750, 0.750)
Hf (0.750, 0.250, 0.750)
Hf (0.750, 0.750, 0.250)
Pt (0.000, 0.000, 0.500)
Pt (0.000, 0.500, 0.000)
Pt (0.500, 0.000, 0.000)
Pt (0.500, 0.500, 0.500)

Results
Energy of formation from the pure elements   -0.48 eV per atom
Symmetry   No. 216


# 7
Entry from Alexandria via LeMat-Bulk: an optimized crystal structure of LiDyHfRe (PBE).

abc: 6.742 6.742 6.742
angles: 90.00 90.00 90.00
Fractional coordinates of all 16 atoms:
Li (0.000, 0.000, 0.000)
Li (0.000, 0.500, 0.500)
Li (0.500, 0.000, 0.500)
Li (0.500, 0.500, 0.000)
Dy (0.250, 0.250, 0.250)
Dy (0.250, 0.750, 0.750)
Dy (0.750, 0.250, 0.750)
Dy (0.750, 0.750, 0.250)
Hf (0.250, 0.250, 0.750)
Hf (0.250, 0.750, 0.250)
Hf (0.750, 0.250, 0.250)
Hf (0.750, 0.750, 0.750)
Re (0.000, 0.000, 0.500)
Re (0.000, 0.500, 0.000)
Re (0.500, 0.000, 0.000)
Re (0.500, 0.500, 0.500)

Results
Energy of formation from the pure elements   -0.04 eV per atom
Symmetry   No. 216


# 8
Entry from Alexandria via LeMat-Bulk: an optimized crystal structure of LiDyHfRu (PBE).

abc: 6.723 6.723 6.723
angles: 90.00 90.00 90.00
Fractional coordinates of all 16 atoms:
Li (0.000, 0.000, 0.000)
Li (0.000, 0.500, 0.500)
Li (0.500, 0.000, 0.500)
Li (0.500, 0.500, 0.000)
Dy (0.250, 0.250, 0.250)
Dy (0.250, 0.750, 0.750)
Dy (0.750, 0.250, 0.750)
Dy (0.750, 0.750, 0.250)
Hf (0.250, 0.250, 0.750)
Hf (0.250, 0.750, 0.250)
Hf (0.750, 0.250, 0.250)
Hf (0.750, 0.750, 0.750)
Ru (0.000, 0.000, 0.500)
Ru (0.000, 0.500, 0.000)
Ru (0.500, 0.000, 0.000)
Ru (0.500, 0.500, 0.500)

Results
Energy of formation from the pure elements   -0.27 eV per atom
Symmetry   No. 216


# 9
Entry from Alexandria via LeMat-Bulk: an optimized crystal structure of Li3Dy2HfS6 (PBE).

abc: 6.581 6.581 6.556
angles: 99.62 99.62 120.01
Fractional coordinates of all 12 atoms:
Li (0.000, 0.000, 0.000)
Li (0.338, 0.662, 0.000)
Li (0.662, 0.338, 0.000)
Dy (0.167, 0.833, 0.500)
Dy (0.833, 0.167, 0.500)
Hf (0.500, 0.500, 0.500)
S (0.100, 0.416, 0.249)
S (0.265, 0.265, 0.748)
S (0.416, 0.100, 0.249)
S (0.584, 0.900, 0.751)
S (0.735, 0.735, 0.252)
S (0.900, 0.584, 0.751)

Results
Uncorrected formation energy   -1.71 eV per atom
Symmetry   No. 12


# 10
Entry from Alexandria via LeMat-Bulk: an optimized crystal structure of Li2DyHf2S6 (PBE).

abc: 6.449 6.449 6.569
angles: 99.38 99.38 120.46
Fractional coordinates of all 11 atoms:
Li (0.166, 0.834, 0.000)
Li (0.834, 0.166, 0.000)
Dy (0.000, 0.000, 0.500)
Hf (0.335, 0.665, 0.500)
Hf (0.665, 0.335, 0.500)
S (0.077, 0.431, 0.742)
S (0.268, 0.268, 0.255)
S (0.431, 0.077, 0.742)
S (0.569, 0.923, 0.258)
S (0.732, 0.732, 0.745)
S (0.923, 0.569, 0.258)

Results
Uncorrected formation energy   -1.64 eV per atom
Symmetry   No. 12


# 11
Entry from Alexandria via LeMat-Bulk: an optimized crystal structure of LiDy2HfS4 (PBE).

abc: 6.454 3.789 6.619
angles: 90.00 109.22 90.00
Fractional coordinates of all 8 atoms:
Li (0.000, 0.000, 0.000)
Dy (0.500, 0.000, 0.500)
Dy (0.500, 0.500, 0.000)
Hf (0.000, 0.500, 0.500)
S (0.229, 0.000, 0.747)
S (0.231, 0.500, 0.245)
S (0.769, 0.500, 0.755)
S (0.771, 0.000, 0.253)

Results
Uncorrected formation energy   -1.73 eV per atom
Symmetry   No. 10


# 12
Entry from Alexandria via LeMat-Bulk: an optimized crystal structure of LiDy2HfS6 (PBE).

abc: 6.704 6.705 7.098
angles: 61.91 61.94 60.03
Fractional coordinates of all 10 atoms:
Li (0.000, 0.000, 0.000)
Dy (0.202, 0.201, 0.396)
Dy (0.709, 0.707, 0.877)
Hf (0.512, 0.511, 0.465)
S (0.140, 0.397, 0.693)
S (0.295, 0.893, 0.195)
S (0.398, 0.770, 0.693)
S (0.618, 0.294, 0.195)
S (0.771, 0.140, 0.693)
S (0.893, 0.618, 0.196)

Results
Uncorrected formation energy   -1.59 eV per atom
Symmetry   No. 1


# 13
Entry from Alexandria via LeMat-Bulk: an optimized crystal structure of Li3Dy3HfS8 (PBE).

abc: 7.616 7.616 7.616
angles: 61.21 61.21 61.21
Fractional coordinates of all 15 atoms:
Li (0.000, 0.500, 0.500)
Li (0.500, 0.000, 0.500)
Li (0.500, 0.500, 0.000)
Dy (0.000, 0.000, 0.500)
Dy (0.000, 0.500, 0.000)
Dy (0.500, 0.000, 0.000)
Hf (0.500, 0.500, 0.500)
S (0.250, 0.250, 0.250)
S (0.263, 0.263, 0.734)
S (0.263, 0.734, 0.263)
S (0.266, 0.737, 0.737)
S (0.734, 0.263, 0.263)
S (0.737, 0.266, 0.737)
S (0.737, 0.737, 0.266)
S (0.750, 0.750, 0.750)

Results
Uncorrected formation energy   -1.80 eV per atom
Symmetry   No. 166


# 14
Entry from Alexandria via LeMat-Bulk: an optimized crystal structure of Li4Dy3HfS8 (PBE).

abc: 7.593 7.593 7.593
angles: 60.50 60.50 60.50
Fractional coordinates of all 16 atoms:
Li (0.000, 0.000, 0.000)
Li (0.000, 0.500, 0.500)
Li (0.500, 0.000, 0.500)
Li (0.500, 0.500, 0.000)
Dy (0.000, 0.000, 0.500)
Dy (0.000, 0.500, 0.000)
Dy (0.500, 0.000, 0.000)
Hf (0.500, 0.500, 0.500)
S (0.252, 0.252, 0.252)
S (0.258, 0.258, 0.735)
S (0.258, 0.735, 0.258)
S (0.265, 0.742, 0.742)
S (0.735, 0.258, 0.258)
S (0.742, 0.265, 0.742)
S (0.742, 0.742, 0.265)
S (0.748, 0.748, 0.748)

Results
Uncorrected formation energy   -1.74 eV per atom
Symmetry   No. 166


# 15
Entry from Alexandria via LeMat-Bulk: an optimized crystal structure of LiDy2HfS5 (PBE).

abc: 8.235 8.235 11.530
angles: 90.00 90.00 153.46
Fractional coordinates of all 18 atoms:
Li (0.011, 0.989, 0.500)
Li (0.989, 0.011, 0.000)
Dy (0.370, 0.630, 0.320)
Dy (0.391, 0.609, 0.718)
Dy (0.609, 0.391, 0.218)
Dy (0.630, 0.370, 0.820)
Hf (0.304, 0.696, 0.032)
Hf (0.696, 0.304, 0.532)
S (0.003, 0.997, 0.804)
S (0.141, 0.859, 0.027)
S (0.193, 0.807, 0.378)
S (0.217, 0.783, 0.687)
S (0.448, 0.552, 0.091)
S (0.552, 0.448, 0.591)
S (0.783, 0.217, 0.187)
S (0.807, 0.193, 0.878)
S (0.859, 0.141, 0.527)
S (0.997, 0.003, 0.304)

Results
Uncorrected formation energy   -1.73 eV per atom
Symmetry   No. 36


# 16
Entry from Alexandria via LeMat-Bulk: an optimized crystal structure of Li2DyHfSe4 (PBE).

abc: 6.783 3.888 6.894
angles: 90.00 108.89 90.00
Fractional coordinates of all 8 atoms:
Li (0.000, 0.000, 0.000)
Li (0.500, 0.500, 0.000)
Dy (0.000, 0.500, 0.500)
Hf (0.500, 0.000, 0.500)
Se (0.263, 0.500, 0.251)
Se (0.265, 0.000, 0.755)
Se (0.735, 0.000, 0.245)
Se (0.737, 0.500, 0.749)

Results
Uncorrected formation energy   -1.46 eV per atom
Symmetry   No. 10


# 17
Entry from Alexandria via LeMat-Bulk: an optimized crystal structure of Li4Dy3HfSe8 (PBE).

abc: 7.966 7.966 7.966
angles: 60.02 60.02 60.02
Fractional coordinates of all 16 atoms:
Li (0.000, 0.000, 0.000)
Li (0.000, 0.500, 0.500)
Li (0.500, 0.000, 0.500)
Li (0.500, 0.500, 0.000)
Dy (0.000, 0.000, 0.500)
Dy (0.000, 0.500, 0.000)
Dy (0.500, 0.000, 0.000)
Hf (0.500, 0.500, 0.500)
Se (0.253, 0.253, 0.253)
Se (0.257, 0.257, 0.735)
Se (0.257, 0.735, 0.257)
Se (0.265, 0.743, 0.743)
Se (0.735, 0.257, 0.257)
Se (0.743, 0.265, 0.743)
Se (0.743, 0.743, 0.265)
Se (0.747, 0.747, 0.747)

Results
Uncorrected formation energy   -1.57 eV per atom
Symmetry   No. 166


# 18
Entry from Alexandria via LeMat-Bulk: an optimized crystal structure of Li3Dy3HfSe8 (PBE).

abc: 7.993 7.993 7.993
angles: 60.53 60.53 60.53
Fractional coordinates of all 15 atoms:
Li (0.000, 0.500, 0.500)
Li (0.500, 0.000, 0.500)
Li (0.500, 0.500, 0.000)
Dy (0.000, 0.000, 0.500)
Dy (0.000, 0.500, 0.000)
Dy (0.500, 0.000, 0.000)
Hf (0.500, 0.500, 0.500)
Se (0.251, 0.251, 0.251)
Se (0.261, 0.261, 0.735)
Se (0.261, 0.735, 0.261)
Se (0.265, 0.739, 0.739)
Se (0.735, 0.261, 0.261)
Se (0.739, 0.265, 0.739)
Se (0.739, 0.739, 0.265)
Se (0.749, 0.749, 0.749)

Results
Uncorrected formation energy   -1.62 eV per atom
Symmetry   No. 166


# 19
Entry from Alexandria via LeMat-Bulk: an optimized crystal structure of Li2DyHf2Se6 (PBE).

abc: 6.705 6.705 6.920
angles: 99.20 99.20 120.42
Fractional coordinates of all 11 atoms:
Li (0.163, 0.837, 0.000)
Li (0.837, 0.163, 0.000)
Dy (0.000, 0.000, 0.500)
Hf (0.334, 0.666, 0.500)
Hf (0.666, 0.334, 0.500)
Se (0.080, 0.431, 0.746)
Se (0.268, 0.268, 0.253)
Se (0.431, 0.080, 0.746)
Se (0.569, 0.920, 0.254)
Se (0.732, 0.732, 0.747)
Se (0.920, 0.569, 0.254)

Results
Uncorrected formation energy   -1.44 eV per atom
Symmetry   No. 12


# 20
Entry from Alexandria via LeMat-Bulk: an optimized crystal structure of Li2Dy2HfSe6 (PBE).

abc: 6.913 6.913 6.874
angles: 99.33 99.33 119.54
Fractional coordinates of all 11 atoms:
Li (0.163, 0.837, 0.000)
Li (0.837, 0.163, 0.000)
Dy (0.334, 0.666, 0.500)
Dy (0.666, 0.334, 0.500)
Hf (0.000, 0.000, 0.500)
Se (0.077, 0.395, 0.745)
Se (0.234, 0.234, 0.256)
Se (0.395, 0.077, 0.745)
Se (0.605, 0.923, 0.255)
Se (0.766, 0.766, 0.744)
Se (0.923, 0.605, 0.255)

Results
Uncorrected formation energy   -1.58 eV per atom
Symmetry   No. 12


# 21
Entry from Alexandria via LeMat-Bulk: an optimized crystal structure of Li3Dy3HfTe8 (PBE).

abc: 8.581 8.581 8.651
angles: 119.77 119.77 60.00
Fractional coordinates of all 15 atoms:
Li (0.000, 0.000, 0.000)
Li (0.000, 0.500, 0.000)
Li (0.500, 0.000, 0.000)
Dy (0.000, 0.500, 0.500)
Dy (0.500, 0.000, 0.500)
Dy (0.500, 0.500, 0.500)
Hf (0.000, 0.000, 0.500)
Te (0.236, 0.759, 0.254)
Te (0.241, 0.241, 0.746)
Te (0.241, 0.764, 0.746)
Te (0.248, 0.248, 0.243)
Te (0.752, 0.752, 0.757)
Te (0.759, 0.236, 0.254)
Te (0.759, 0.759, 0.254)
Te (0.764, 0.241, 0.746)

Results
Uncorrected formation energy   -1.19 eV per atom
Symmetry   No. 12


# 22
Entry from Alexandria via LeMat-Bulk: an optimized crystal structure of Dy2LuHf (PBE).

abc: 3.974 3.974 7.137
angles: 90.00 90.00 90.00
Fractional coordinates of all 4 atoms:
Dy (0.000, 0.000, 0.227)
Dy (0.000, 0.000, 0.773)
Lu (0.500, 0.500, 0.500)
Hf (0.500, 0.500, 0.000)

Results
Energy above the lowest structure with this stoichiometry   80.7 meV/atom
Energy of formation from the pure elements   0.21 eV per atom
Symmetry   No. 123


# 23
Entry from Alexandria via LeMat-Bulk: an optimized crystal structure of Dy2LuHf (PBE).

abc: 3.314 3.314 35.667
angles: 90.00 90.00 120.00
Fractional coordinates of all 12 atoms:
Dy (0.000, 0.000, 0.087)
Dy (0.000, 0.000, 0.913)
Dy (0.333, 0.667, 0.579)
Dy (0.333, 0.667, 0.754)
Dy (0.667, 0.333, 0.246)
Dy (0.667, 0.333, 0.421)
Lu (0.000, 0.000, 0.500)
Lu (0.333, 0.667, 0.167)
Lu (0.667, 0.333, 0.833)
Hf (0.000, 0.000, 0.000)
Hf (0.333, 0.667, 0.667)
Hf (0.667, 0.333, 0.333)

Results
Energy above the lowest structure with this stoichiometry   214.0 meV/atom
Energy of formation from the pure elements   0.35 eV per atom
Symmetry   No. 166


| no. | total moment (μB/f.u.) | E_tot (eV/atom) |
| --- | --- | --- |
| 1 | 0.0 | -7.26 |
| 2 | 0.0 | -5.30 |
| 3 | 0.0 | -5.39 |
| 4 | 0.0 | -9.03 |
| 5 | 0.0 | -7.19 |
| 6 | 0.0 | -6.11 |
| 7 | 0.0 | -7.27 |
| 8 | 0.0 | -6.70 |
| 9 | 0.0 | -5.85 |
| 10 | 0.0 | -6.47 |
| 11 | 0.0 | -6.43 |
| 12 | 0.0 | -6.17 |
| 13 | 0.0 | -5.97 |
| 14 | 0.0 | -5.77 |
| 15 | 0.0 | -6.37 |
| 16 | 0.0 | -5.50 |
| 17 | 0.0 | -5.28 |
| 18 | 0.0 | -5.45 |
| 19 | 0.0 | -5.92 |
| 20 | 0.0 | -5.57 |
| 21 | 0.0 | -4.83 |
| 22 | 0.0 | -5.71 |
| 23 | 0.0 | -5.57 |